Crystalline CoIrBr at its relaxed geometry, computed with PBE.

D(E_F) (states/eV/f.u.): 4.7
Uncorrected formation energy (eV per atom): 0.701
E above lowest polymorph (meV per atom): 0

The structure in POSCAR format:
```
CoIrBr
1.0
-2.827 -0.341 -0.891
1.661 -2.394 0.642
-1.921 0.274 5.990
Br Co Ir
1 1 1
direct
0.000 0.000 0.038
0.667 0.333 0.334
0.333 0.667 0.628
```

=====

Crystalline MgMnAu2 at its relaxed geometry, computed with PBE.

D(E_F) (states/eV/f.u.): 1.7
Formation enthalpy at 0 K (kJ per mole of atoms): -11

The structure in POSCAR format:
```
MgMnAu2
1.0
-5.844 -2.699 5.948
-3.630 -4.867 6.321
-3.395 -2.126 7.796
Au Mg Mn
2 1 1
direct
0.003 0.003 0.003
0.497 0.497 0.497
0.250 0.250 0.250
0.750 0.750 0.750
```

=====

Crystalline GaPtF2 at its relaxed geometry, computed with PBE.

D(E_F) (states/eV/f.u.): 1.0
Uncorrected formation energy (eV per atom): -1.031
E above lowest polymorph (meV per atom): 0

The structure in POSCAR format:
```
GaPtF2
1.0
1.639 0.000 7.868
-0.819 1.419 7.868
-0.819 -1.419 7.868
Ga Pt F
1 1 2
direct
0.500 0.500 0.500
0.000 0.000 0.000
0.915 0.915 0.915
0.085 0.085 0.085
```

=====

Crystalline Tb8Sm6Dy at its relaxed geometry, computed with PBE.

D(E_F) (states/eV/f.u.): 22.5
Formation enthalpy at 0 K (kJ per mole of atoms): 22
E above lowest polymorph (meV per atom): 107

The structure in POSCAR format:
```
Tb8Sm6Dy
1.0
-0.349 -0.103 -6.570
7.560 -5.678 -0.312
-8.685 -3.712 0.520
Tb Sm Dy
8 6 1
direct
0.892 0.983 0.307
0.892 0.693 0.675
0.892 0.325 0.017
0.108 0.017 0.693
0.108 0.307 0.325
0.108 0.675 0.983
0.844 0.333 0.667
0.156 0.667 0.333
0.601 0.677 0.084
0.601 0.916 0.593
0.601 0.407 0.323
0.399 0.323 0.916
0.399 0.084 0.407
0.399 0.593 0.677
0.500 0.000 0.000
```

=====

Crystalline Ti3GaPb at its relaxed geometry, computed with PBE.

D(E_F) (states/eV/f.u.): 6.6
Formation enthalpy at 0 K (kJ per mole of atoms): 31
E above lowest polymorph (meV per atom): 483

The structure in POSCAR format:
```
Ti3GaPb
1.0
-1.169 4.221 -1.806
-3.164 -2.091 -2.839
-3.326 0.506 3.335
Pb Ga Ti
1 1 3
direct
0.500 0.500 0.500
0.000 0.000 0.000
0.000 0.500 0.000
0.000 0.000 0.500
0.500 0.000 0.000
```

=====

Crystalline YOsCl2 at its relaxed geometry, computed with PBE.

D(E_F) (states/eV/f.u.): 3.5
Uncorrected formation energy (eV per atom): -0.111
E above lowest polymorph (meV per atom): 464

The structure in POSCAR format:
```
YOsCl2
1.0
3.228 0.000 0.000
0.000 5.370 0.000
0.000 0.000 4.380
Y Os Cl
1 1 2
direct
0.000 0.500 0.500
0.500 0.000 0.500
0.000 0.000 0.000
0.500 0.500 0.000
```

=====

Crystalline Sr3GaN3 at its relaxed geometry, computed with PBE.

Uncorrected formation energy (eV per atom): -0.549
E above lowest polymorph (meV per atom): 93

The structure in POSCAR format:
```
Sr3GaN3
1.0
3.649 0.000 0.000
0.000 11.479 0.000
0.000 0.000 11.837
Sr Ga N
12 4 12
direct
0.750 0.721 0.806
0.250 0.779 0.306
0.250 0.279 0.194
0.750 0.221 0.694
0.750 0.127 0.984
0.250 0.373 0.484
0.250 0.873 0.016
0.750 0.627 0.516
0.750 0.914 0.596
0.250 0.586 0.096
0.250 0.086 0.404
0.750 0.414 0.904
0.750 0.962 0.211
0.250 0.538 0.711
0.250 0.038 0.789
0.750 0.462 0.289
0.750 0.956 0.845
0.250 0.544 0.345
0.250 0.044 0.155
0.750 0.456 0.655
0.750 0.931 0.376
0.250 0.569 0.876
0.250 0.069 0.624
0.750 0.431 0.124
0.750 0.795 0.140
0.250 0.705 0.640
0.250 0.205 0.860
0.750 0.295 0.360
```

=====

Crystalline Sc2PaN at its relaxed geometry, computed with PBE.

D(E_F) (states/eV/f.u.): 4.0
Uncorrected formation energy (eV per atom): -0.338
E above lowest polymorph (meV per atom): 460

The structure in POSCAR format:
```
Sc2PaN
1.0
-1.738 -2.357 -0.235
2.217 -1.721 0.869
-2.217 0.895 7.427
Sc Pa N
2 1 1
direct
0.000 0.000 0.834
0.000 0.000 0.166
0.500 0.500 0.500
0.500 0.500 0.000
```